Material: TcWNF2
Method: DFT, PBE+U
State: optimized geometry

## Properties
Volume   74.39 Å³/f.u.
Energy   -30.24 eV/cell

a = 4.2679 Å, b = 4.2679 Å, c = 4.0840 Å
α = 90.00°, β = 90.00°, γ = 90.00°
Space group P4/mmm (No. 123)
Unique sites:
Tc (0.0000, 0.0000, 0.0000)
W (0.5000, 0.5000, 0.5000)
N (0.5000, 0.5000, 0.0000)
F (0.0000, 0.5000, 0.5000)